Entry 1:
KCa2Bi2: relaxed, PBE.

Formation energy in meV per atom: -570
SG: I4/mmm
Total moment in μB/f.u.: 0.00
DOS(E_F) in states/eV per atom: 1.025
Crystal system: tetragonal

```
KCa2Bi2
1.0
5.447 0.000 0.000
0.000 5.447 0.000
2.723 2.723 6.863
Bi Ca K
2 2 1
Direct
0.378 0.378 0.244
0.622 0.622 0.756
0.250 0.750 0.500
0.750 0.250 0.500
0.000 0.000 0.000
```


Entry 2:
K2CaBi2: relaxed, PBE.

Formation energy in meV per atom: -224
SG: P4/mbm
Total moment in μB/f.u.: 0.00
DOS(E_F) in states/eV per atom: 0.800
Crystal system: tetragonal

```
K2CaBi2
1.0
9.932 0.000 0.000
0.000 9.932 0.000
0.000 0.000 3.738
Bi K Ca
4 4 2
Direct
0.188 0.688 0.500
0.688 0.812 0.500
0.312 0.188 0.500
0.812 0.312 0.500
0.388 0.888 0.000
0.612 0.112 0.000
0.112 0.388 0.000
0.888 0.612 0.000
0.000 0.000 0.000
0.500 0.500 0.000
```


Entry 3:
KCa2Bi: relaxed, PBE.

Formation energy in meV per atom: -218
SG: I-42d
Total moment in μB/f.u.: 0.00
DOS(E_F) in states/eV per atom: 0.172
Crystal system: tetragonal

```
KCa2Bi
1.0
10.135 0.000 0.000
0.000 10.135 0.000
5.068 5.068 3.656
Ca Bi K
4 2 2
Direct
0.375 0.290 0.750
0.710 0.125 0.250
0.875 0.960 0.750
0.040 0.625 0.250
0.750 0.250 0.500
0.000 0.000 0.000
0.500 0.500 0.000
0.250 0.750 0.500
```


Entry 4:
KCa4Bi4: relaxed, PBE.

Formation energy in meV per atom: -606
SG: P4_2/n
Total moment in μB/f.u.: 0.00
DOS(E_F) in states/eV per atom: 0.586
Crystal system: tetragonal

```
KCa4Bi4
1.0
-5.316 -3.541 1.047
1.907 0.241 10.493
-5.779 8.927 0.845
Ca K Bi
8 2 8
Direct
0.098 0.148 0.624
0.598 0.876 0.648
0.902 0.624 0.852
0.402 0.352 0.876
0.402 0.648 0.124
0.098 0.852 0.376
0.598 0.124 0.352
0.902 0.376 0.148
0.000 0.000 0.000
0.500 0.500 0.500
0.908 0.681 0.153
0.092 0.847 0.681
0.408 0.653 0.819
0.908 0.319 0.847
0.592 0.819 0.347
0.592 0.181 0.653
0.092 0.153 0.319
0.408 0.347 0.181
```